La2MgPt2 | GGA-PBE | relaxed

Cell and atoms, written as POSCAR:
```
La2MgPt2
1.0
4.117 0.000 0.000
0.000 4.117 0.000
0.000 0.000 16.404
La Mg Pt
4 2 4
Direct
0.000 0.000 0.123
0.000 0.000 0.877
0.500 0.500 0.377
0.500 0.500 0.623
0.000 0.000 0.500
0.500 0.500 0.000
0.000 0.500 0.250
0.000 0.500 0.750
0.500 0.000 0.250
0.500 0.000 0.750
```

Results
Energy of formation from the pure elements   -0.550 eV/atom
VASP energy   -5.2559 eV/atom
Fermi-level density of states   4.152 states/eV per cell